Entry 1:
VASP calculation (PBE) on an optimized crystal structure of La2ReTc.

Results
ΔH_f (0 K)	516	meV per atom
polymorph energy (0 for the lowest one)	0.368	eV/atom

a = 4.932 Å, b = 4.932 Å, c = 4.932 Å
α = 60.00°, β = 60.00°, γ = 60.00°
Fractional positions:
La (0.000, 0.000, 0.000)
La (0.250, 0.250, 0.250)
Re (0.500, 0.500, 0.500)
Tc (0.750, 0.750, 0.750)



Entry 2:
VASP calculation (PBE) on an optimized crystal structure of LiZrTc2.

Results
ΔH_f (0 K)	158	meV per atom
polymorph energy (0 for the lowest one)	0.101	eV/atom

a = 4.908 Å, b = 4.908 Å, c = 4.494 Å
α = 71.41°, β = 71.41°, γ = 38.85°
Fractional positions:
Li (0.250, 0.250, 0.250)
Tc (0.998, 0.998, 0.033)
Tc (0.502, 0.502, 0.467)
Zr (0.750, 0.750, 0.750)



Entry 3:
VASP calculation (PBE) on an optimized crystal structure of CaAsP2O.

Results
polymorph energy (0 for the lowest one)	0.884	eV/atom

a = 5.306 Å, b = 5.306 Å, c = 4.043 Å
α = 90.00°, β = 90.00°, γ = 90.00°
Site moments in Bohr magnetons follow the coordinates.
Fractional positions:
P (0.000, 0.500, 0.000)  0.01
P (0.500, 0.000, 0.000)  0.01
As (0.500, 0.500, 0.500)  0.05
Ca (0.000, 0.000, 0.000)  0.02
O (0.000, 0.000, 0.500)  0.34



Entry 4:
VASP calculation (PBE) on an optimized crystal structure of Hf2Al2Tl.

Results
ΔH_f (0 K)	-81	meV per atom
polymorph energy (0 for the lowest one)	0.000	eV/atom

a = 7.032 Å, b = 7.032 Å, c = 4.028 Å
α = 90.00°, β = 90.00°, γ = 90.00°
Fractional positions:
Tl (0.000, 0.000, 0.000)
Tl (0.500, 0.500, 0.000)
Hf (0.171, 0.671, 0.500)
Hf (0.671, 0.829, 0.500)
Hf (0.829, 0.329, 0.500)
Hf (0.329, 0.171, 0.500)
Al (0.375, 0.875, 0.000)
Al (0.875, 0.625, 0.000)
Al (0.625, 0.125, 0.000)
Al (0.125, 0.375, 0.000)



Entry 5:
VASP calculation (PBE) on an optimized crystal structure of SrNbAu.

Results
ΔH_f (0 K)	81	meV per atom
polymorph energy (0 for the lowest one)	0.216	eV/atom

a = 9.252 Å, b = 3.433 Å, c = 9.704 Å
α = 90.00°, β = 90.00°, γ = 90.00°
Fractional positions:
Sr (0.829, 0.250, 0.410)
Sr (0.671, 0.750, 0.910)
Sr (0.171, 0.750, 0.590)
Sr (0.329, 0.250, 0.090)
Nb (0.449, 0.250, 0.410)
Nb (0.051, 0.750, 0.910)
Nb (0.551, 0.750, 0.590)
Nb (0.949, 0.250, 0.090)
Au (0.896, 0.250, 0.732)
Au (0.604, 0.750, 0.232)
Au (0.104, 0.750, 0.268)
Au (0.396, 0.250, 0.768)



Entry 6:
VASP calculation (PBE) on an optimized crystal structure of Ce2Pm2Tl7.

Results
ΔH_f (0 K)	99	meV per atom

a = 7.068 Å, b = 7.726 Å, c = 7.068 Å
α = 90.00°, β = 103.56°, γ = 90.00°
Site moments in Bohr magnetons follow the coordinates.
Fractional positions:
Ce (0.700, 0.000, 0.300)  0.95
Ce (0.300, 0.000, 0.700)  0.95
Pm (0.813, 0.500, 0.813)  0.01
Pm (0.187, 0.500, 0.187)  0.01
Tl (0.000, 0.297, 0.500)  0.01
Tl (0.500, 0.703, 0.000)  0.01
Tl (0.000, 0.703, 0.500)  0.01
Tl (0.500, 0.297, 0.000)  0.01
Tl (0.000, 0.000, 0.000)  0.04
Tl (0.500, 0.704, 0.500)  0.01
Tl (0.500, 0.296, 0.500)  0.01